A plane-wave DFT calculation with PBE-GGA was carried out for a relaxed structure of BaCu2HOs.

The structure in CIF format:
```
data_BaCu2HOs
_chemical_formula_sum 'Ba1 Cu2 H1 Os1'
_cell_length_a 4.894
_cell_length_b 4.894
_cell_length_c 3.913
_cell_angle_alpha 90.00
_cell_angle_beta 90.00
_cell_angle_gamma 90.00
_space_group_name_H-M_alt 'P 4/m m m'
_space_group_IT_number 123
_space_group_name_Hall '-P 4 2'
loop_
_atom_site_label
_atom_site_type_symbol
_atom_site_fract_x
_atom_site_fract_y
_atom_site_fract_z
Ba1 Ba 0.000 0.000 0.000
Cu1 Cu 0.000 0.500 0.500
H1 H 0.500 0.500 0.000
Os1 Os 0.500 0.500 0.500
```

Results
The raw total energy is -4.41 eV/atom. The total magnetic moment is 0.432 Bohr magnetons per cell.

---

A plane-wave DFT calculation with PBE-GGA was carried out for a relaxed structure of Ba2Cu2P2H.

The structure in CIF format:
```
data_Ba2Cu2P2H
_chemical_formula_sum 'Ba4 Cu4 P4 H2'
_cell_length_a 11.470
_cell_length_b 4.125
_cell_length_c 7.436
_cell_angle_alpha 90.00
_cell_angle_beta 125.10
_cell_angle_gamma 90.00
_space_group_name_H-M_alt 'C 1 2/m 1'
_space_group_IT_number 12
loop_
_space_group_symop_operation_xyz
'x,y,z'
'-x,-y,-z'
'-x,y,-z'
'x,-y,z'
'x+1/2,y+1/2,z'
'-x+1/2,-y+1/2,-z'
'-x+1/2,y+1/2,-z'
'x+1/2,-y+1/2,z'
loop_
_atom_site_label
_atom_site_type_symbol
_atom_site_fract_x
_atom_site_fract_y
_atom_site_fract_z
Ba1 Ba 0.051 0.000 0.309
Cu1 Cu 0.192 0.500 0.084
P1 P 0.201 0.500 0.764
H1 H 0.000 0.500 0.000
```

Results
The raw total energy is -4.35 eV/atom. The total magnetic moment is 0.000 Bohr magnetons per cell.

---

A plane-wave DFT calculation with PBE-GGA was carried out for a relaxed structure of BaCuH6Pd.

The structure in CIF format:
```
data_BaCuH6Pd
_chemical_formula_sum 'Ba1 Cu1 H6 Pd1'
_cell_length_a 4.8256
_cell_length_b 4.8256
_cell_length_c 4.9312
_cell_angle_alpha 90.00
_cell_angle_beta 90.00
_cell_angle_gamma 120.00
_space_group_name_H-M_alt 'P -6 m 2'
_space_group_IT_number 187
_space_group_name_Hall 'P -6 2'
loop_
_atom_site_label
_atom_site_type_symbol
_atom_site_fract_x
_atom_site_fract_y
_atom_site_fract_z
Ba1 Ba 0.0000 0.0000 0.0000
Cu1 Cu 0.3333 0.6667 0.5000
H1 H 0.0063 0.5032 0.2860
Pd1 Pd 0.6667 0.3333 0.5000
```

Results
The raw total energy is -3.74 eV/atom. The total magnetic moment is 0.000 Bohr magnetons per cell.

---

A plane-wave DFT calculation with PBE-GGA was carried out for a relaxed structure of Ba2CuHPd.

The structure in CIF format:
```
data_Ba2CuHPd
_chemical_formula_sum 'Ba2 Cu1 H1 Pd1'
_cell_length_a 5.570
_cell_length_b 5.570
_cell_length_c 3.910
_cell_angle_alpha 90.00
_cell_angle_beta 90.00
_cell_angle_gamma 90.00
_space_group_name_H-M_alt 'P 4/m m m'
_space_group_IT_number 123
_space_group_name_Hall '-P 4 2'
loop_
_atom_site_label
_atom_site_type_symbol
_atom_site_fract_x
_atom_site_fract_y
_atom_site_fract_z
Ba1 Ba 0.000 0.500 0.000
Cu1 Cu 0.000 0.000 0.500
H1 H 0.000 0.000 0.000
Pd1 Pd 0.500 0.500 0.500
```

Results
The total magnetic moment is 0.000 Bohr magnetons per cell. The energy above the lowest structure with this stoichiometry comes out at 24 meV per atom.

---

A plane-wave DFT calculation with PBE-GGA was carried out for a relaxed structure of Ba2CuHPd.

The structure in CIF format:
```
data_Ba2CuHPd
_chemical_formula_sum 'Ba2 Cu1 H1 Pd1'
_cell_length_a 5.703
_cell_length_b 5.703
_cell_length_c 3.821
_cell_angle_alpha 90.00
_cell_angle_beta 90.00
_cell_angle_gamma 90.00
_space_group_name_H-M_alt 'P 4/m m m'
_space_group_IT_number 123
_space_group_name_Hall '-P 4 2'
loop_
_atom_site_label
_atom_site_type_symbol
_atom_site_fract_x
_atom_site_fract_y
_atom_site_fract_z
Ba1 Ba 0.000 0.500 0.000
Cu1 Cu 0.000 0.000 0.500
H1 H 0.500 0.500 0.000
Pd1 Pd 0.500 0.500 0.500
```

Results
The total magnetic moment is 0.000 Bohr magnetons per cell. The energy above the lowest structure with this stoichiometry comes out at 0 meV per atom.

---

A plane-wave DFT calculation with PBE-GGA was carried out for a relaxed structure of Ba2CuHPd6.

The structure in CIF format:
```
data_Ba2CuHPd6
_chemical_formula_sum 'Ba6 Cu3 H3 Pd18'
_cell_length_a 5.9085
_cell_length_b 5.9085
_cell_length_c 18.7826
_cell_angle_alpha 90.00
_cell_angle_beta 90.00
_cell_angle_gamma 120.00
_space_group_name_H-M_alt 'R -3 m'
_space_group_IT_number 166
_space_group_name_Hall '-R 3 2"'
loop_
_atom_site_label
_atom_site_type_symbol
_atom_site_fract_x
_atom_site_fract_y
_atom_site_fract_z
Ba1 Ba 0.0000 0.0000 0.2186
Cu1 Cu 0.0000 0.0000 0.5000
H1 H 0.0000 0.0000 0.0000
Pd1 Pd 0.0122 0.5061 0.2761
```

Results
The raw total energy is -4.59 eV/atom. The total magnetic moment is 0.000 Bohr magnetons per cell.